First-principles (PBE with a Hubbard U) data for crystalline PmBeNiO4 at its relaxed geometry, as listed in Alexandria.

a b c (Å): 5.0989 5.0989 4.9498
angles (deg): 121.00 121.00 90.00
Last column: magnetic moment on the atom in μB.
Positions (direct):
Pm 0.0000 0.0000 0.0000  0.03
O 0.5190 0.6150 0.7095  0.18
Be 0.2500 0.7500 0.5000  0.01
O 0.3850 0.8094 0.2905  0.18
O 0.1906 0.0945 0.7095  0.18
Ni 0.5000 0.5000 0.0000  2.07
O 0.9055 0.4810 0.2905  0.18

**E_tot**: -6.537 eV per atom